GaTe2Rh | PBE-GGA | optimized geometry

## Properties
- ΔE_f (raw): -0.40 eV/f.u.
- Total magnetization: 0.0 μB/cell

Cell and atoms, written as CIF:
```
data_GaTe2Rh
_chemical_formula_sum 'Ga1 Te2 Rh1'
_space_group_name_H-M_alt 'P 1'
_space_group_IT_number 1
_cell_length_a 8.907
_cell_length_b 8.907
_cell_length_c 8.907
_cell_angle_alpha 25.98
_cell_angle_beta 25.98
_cell_angle_gamma 25.98
loop_
_space_group_symop_operation_xyz
'x,y,z'
loop_
_atom_site_label
_atom_site_type_symbol
_atom_site_fract_x
_atom_site_fract_y
_atom_site_fract_z
_atom_site_occupancy
Ga1 Ga 0.000 0.000 0.000 1
Te1 Te 0.115 0.115 0.115 1
Te2 Te 0.885 0.885 0.885 1
Rh1 Rh 0.500 0.500 0.500 1
```



GaTe3Rh | PBE-GGA | optimized geometry

## Properties
- ΔE_f (raw): 1.29 eV/f.u.
- Distance to the lowest polymorph of the same formula: 0.00 eV per formula unit
- Total magnetization: 0.0 μB/cell

Cell and atoms, written as CIF:
```
data_GaTe3Rh
_chemical_formula_sum 'Ga1 Te3 Rh1'
_space_group_name_H-M_alt 'P 1'
_space_group_IT_number 1
_cell_length_a 5.295
_cell_length_b 5.295
_cell_length_c 5.295
_cell_angle_alpha 90.00
_cell_angle_beta 90.00
_cell_angle_gamma 90.00
loop_
_space_group_symop_operation_xyz
'x,y,z'
loop_
_atom_site_label
_atom_site_type_symbol
_atom_site_fract_x
_atom_site_fract_y
_atom_site_fract_z
_atom_site_occupancy
Ga1 Ga 0.000 0.000 0.000 1
Te1 Te 0.000 0.500 0.500 1
Te2 Te 0.500 0.000 0.500 1
Te3 Te 0.500 0.500 0.000 1
Rh1 Rh 0.500 0.500 0.500 1
```



Th3GaRh12 | PBE-GGA | optimized geometry

## Properties
- Formation enthalpy at 0 K: -596 meV per atom
- Total magnetization: 0.0 μB/cell

Cell and atoms, written as CIF:
```
data_Th3GaRh12
_chemical_formula_sum 'Th3 Ga1 Rh12'
_space_group_name_H-M_alt 'P 1'
_space_group_IT_number 1
_cell_length_a 4.110
_cell_length_b 4.110
_cell_length_c 15.938
_cell_angle_alpha 90.00
_cell_angle_beta 90.00
_cell_angle_gamma 90.00
loop_
_space_group_symop_operation_xyz
'x,y,z'
loop_
_atom_site_label
_atom_site_type_symbol
_atom_site_fract_x
_atom_site_fract_y
_atom_site_fract_z
_atom_site_occupancy
Th1 Th 0.000 0.000 0.000 1
Th2 Th 0.000 0.000 0.260 1
Th3 Th 0.000 0.000 0.740 1
Ga1 Ga 0.000 0.000 0.500 1
Rh1 Rh 0.000 0.500 0.131 1
Rh2 Rh 0.000 0.500 0.393 1
Rh3 Rh 0.000 0.500 0.607 1
Rh4 Rh 0.000 0.500 0.869 1
Rh5 Rh 0.500 0.000 0.131 1
Rh6 Rh 0.500 0.000 0.393 1
Rh7 Rh 0.500 0.000 0.607 1
Rh8 Rh 0.500 0.000 0.869 1
Rh9 Rh 0.500 0.500 0.000 1
Rh10 Rh 0.500 0.500 0.261 1
Rh11 Rh 0.500 0.500 0.500 1
Rh12 Rh 0.500 0.500 0.739 1
```



ThGa5Rh2 | PBE-GGA | optimized geometry

## Properties
- Formation enthalpy at 0 K: -597 meV per atom
- Total magnetization: 0.0 μB/cell

Cell and atoms, written as CIF:
```
data_ThGa5Rh2
_chemical_formula_sum 'Th1 Ga5 Rh2'
_space_group_name_H-M_alt 'P 1'
_space_group_IT_number 1
_cell_length_a 6.410
_cell_length_b 6.410
_cell_length_c 6.410
_cell_angle_alpha 143.15
_cell_angle_beta 109.86
_cell_angle_gamma 81.96
loop_
_space_group_symop_operation_xyz
'x,y,z'
loop_
_atom_site_label
_atom_site_type_symbol
_atom_site_fract_x
_atom_site_fract_y
_atom_site_fract_z
_atom_site_occupancy
Th1 Th 0.000 0.000 0.000 1
Ga1 Ga 0.162 0.351 0.811 1
Ga2 Ga 0.460 0.649 0.811 1
Ga3 Ga 0.500 0.000 0.500 1
Ga4 Ga 0.540 0.351 0.189 1
Ga5 Ga 0.838 0.649 0.189 1
Rh1 Rh 0.249 0.749 0.500 1
Rh2 Rh 0.751 0.251 0.500 1
```